# 1
Entry from Alexandria via LeMat-Bulk: a crystal of Bi5O7F relaxed with PBEsol (SCAN).

## Properties
As for the density of states at the Fermi level: 0.000 states/eV/cell. The total magnetic moment comes out at 0.00 μB per cell. The value obtained for the energy relative to the lowest polymorph listed for this composition is 0 meV per atom. The space group is P-1 (2). For the theoretical density, the calculation gives 8.66 g/cm³.

Cell and atoms, written as extended XYZ:
```
26
Lattice="4.1004 0.0000 0.0000 0.1731 9.1768 0.0000 0.4060 3.1674 11.9839" Properties=species:S:1:pos:R:3 pbc="T T T"
Bi 1.0611 3.0006 2.5994
Bi 1.2839 9.3881 4.9721
Bi 1.3761 3.2295 10.3415
Bi 1.1458 6.1666 0.4884
Bi 1.4002 5.8559 7.7427
Bi 3.2793 6.4884 4.2412
Bi 3.5337 6.1777 11.4954
Bi 3.3034 9.1148 1.6423
Bi 3.3956 2.9562 7.0117
Bi 3.6184 9.3437 9.3845
O 0.9776 0.8633 2.8382
O 1.2053 7.1432 4.9509
O 1.3225 5.5839 9.8441
O 1.0268 3.4604 0.4775
O 1.1598 8.3673 0.5373
O 1.6087 9.8213 10.1953
O 1.4455 3.6819 7.6884
O 3.2340 8.6624 4.2955
O 3.0708 2.5230 1.7885
O 3.5197 3.9770 11.4465
O 3.6527 8.8839 11.5063
O 3.3571 6.7604 2.1397
O 3.4742 5.2011 7.0330
O 3.7020 11.4810 9.1456
F 2.2272 2.5263 4.8242
F 2.4523 9.8180 7.1596
```

# 2
Entry from Alexandria via LeMat-Bulk: a crystal of Bi5O7F relaxed with PBEsol (SCAN).

## Properties
As for the density of states at the Fermi level: 0.000 states/eV/cell. The total magnetic moment comes out at 0.00 μB per cell. The value obtained for the energy relative to the lowest polymorph listed for this composition is 43 meV per atom. The space group is P2_1/c (14). For the theoretical density, the calculation gives 8.22 g/cm³.

Cell and atoms, written as extended XYZ:
```
52
Lattice="6.6517 0.0000 0.0000 0.0000 12.2753 0.0000 -5.5240 0.0000 11.6321" Properties=species:S:1:pos:R:3 pbc="T T T"
Bi -2.0950 3.0019 5.0460
Bi -4.8570 3.1358 10.8620
Bi -3.0096 8.9642 10.6688
Bi -0.2476 9.4488 4.8528
Bi 1.6280 0.1809 0.9366
Bi -1.1341 5.9567 6.7526
Bi -1.8800 2.7080 8.9867
Bi 0.8821 3.4297 3.1706
Bi 1.9151 6.1733 1.3268
Bi -0.8469 12.2396 7.1428
Bi 1.9746 0.0357 4.4892
Bi -0.7874 6.1020 10.3053
Bi 0.2457 8.8456 8.4615
Bi 3.0077 9.5673 2.6454
Bi 2.2618 6.3186 4.8794
Bi -0.5002 12.0943 10.6955
Bi 1.3753 2.8265 6.7793
Bi 4.1374 3.3111 0.9632
Bi 5.9847 9.1395 0.7701
Bi 3.2227 9.2734 6.5861
O -5.5004 1.2924 11.6161
O -2.7384 4.8452 5.8000
O -2.4615 2.0245 6.8590
O 0.3005 4.1131 1.0430
O 1.5226 8.8992 1.0206
O -1.2394 9.5137 6.8367
O 1.0933 1.2163 2.7422
O -1.6687 4.9214 8.5582
O 2.6637 2.0107 0.1085
O -0.0983 4.1269 5.9245
O -1.5658 7.8008 9.0332
O 1.1962 10.6121 3.2172
O 0.3807 1.2750 5.7389
O -2.3813 4.8626 11.5549
O 3.5090 7.4126 0.0771
O 0.7470 11.0003 5.8932
O -0.0685 1.6632 8.4149
O 2.6935 4.4745 2.5989
O 1.2260 8.1483 5.7075
O -1.5360 10.2646 11.5236
O 2.7964 7.3539 3.0739
O 0.0344 11.0590 8.8899
O 2.3671 2.7616 4.7954
O -0.3949 3.3761 10.6115
O 0.8272 8.1622 10.5891
O 3.5892 10.2507 4.7731
O 3.8661 7.4300 5.8320
O 6.6281 10.9829 0.0160
F -2.4198 0.2583 9.1153
F 0.3422 5.8793 3.2992
F 0.7855 6.3960 8.3328
F 3.5475 12.0169 2.5168
```

# 3
Entry from Alexandria via LeMat-Bulk: a crystal of Bi6O5F8 relaxed with PBEsol (SCAN).

## Properties
As for the density of states at the Fermi level: 0.000 states/eV/cell. The total magnetic moment comes out at 0.00 μB per cell. The value obtained for the energy relative to the lowest polymorph listed for this composition is 0 meV per atom. The space group is P2_1/c (14). For the theoretical density, the calculation gives 8.89 g/cm³.

Cell and atoms, written as extended XYZ:
```
76
Lattice="5.8168 0.0000 0.0000 0.0000 5.6430 0.0000 -0.1147 0.0000 33.8251" Properties=species:S:1:pos:R:3 pbc="T T T"
Bi 1.1685 1.1559 11.3084
Bi 1.1112 1.6656 28.2209
Bi 1.1066 4.1177 31.0298
Bi 1.1640 4.3468 14.1172
Bi 1.1493 4.0698 19.7312
Bi 1.2067 4.3947 2.8186
Bi 1.2377 1.3081 5.5991
Bi 1.1804 1.5134 22.5116
Bi 1.2246 1.3985 16.9009
Bi 1.1673 1.4230 33.8135
Bi 1.2391 4.0270 25.3432
Bi 1.2965 4.4376 8.4306
Bi 4.4056 1.2054 25.3945
Bi 4.4630 1.6161 8.4819
Bi 4.5348 4.2200 0.0116
Bi 4.4775 4.2446 16.9242
Bi 4.5217 4.1297 11.3135
Bi 4.4644 4.3349 28.2260
Bi 4.4954 1.2483 31.0065
Bi 4.5528 1.5732 14.0939
Bi 4.5381 1.2962 19.7079
Bi 4.5955 1.5253 2.7953
Bi 4.5909 3.9774 5.6042
Bi 4.5336 4.4872 22.5167
O -0.0090 2.8928 15.4869
O -0.0663 5.5718 32.3995
O 0.0512 2.9032 1.4374
O -0.0061 5.5613 18.3499
O -0.0084 0.0678 29.4982
O 0.0490 2.7537 12.5856
O 0.0583 0.0565 21.1914
O 0.1157 2.7650 4.2789
O 0.1018 2.8673 7.1392
O 0.0444 5.5972 24.0517
O 5.6577 0.0458 9.7734
O 5.6003 2.7757 26.6859
O 5.5864 2.8780 29.5462
O 5.6438 5.5865 12.6337
O 5.6531 2.8893 21.2395
O 5.7104 5.5753 4.3269
O 5.7082 0.0817 15.4752
O 5.6509 2.7398 32.3877
O 5.7684 0.0713 1.4256
O 5.7111 2.7503 18.3382
F 0.1682 2.8570 9.8303
F 0.1108 5.6075 26.7428
F 2.0536 3.7350 23.1124
F 2.1109 4.7296 6.1999
F 2.1410 0.9606 8.3476
F 2.0837 1.8609 25.2601
F 2.1005 3.7731 27.7675
F 2.1578 4.6915 10.8549
F 2.3413 0.8283 3.6574
F 2.2840 1.9932 20.5700
F 2.3435 0.7184 13.2344
F 2.2861 2.1031 30.1469
F 2.5766 3.1588 32.6080
F 2.6340 5.3058 15.6955
F 2.7173 3.1317 18.1866
F 2.7747 5.3329 1.2741
F 2.9274 0.3102 32.5510
F 2.9848 2.5114 15.6385
F 3.0681 0.3372 18.1296
F 3.1255 2.4843 1.2171
F 3.4160 3.5399 3.6782
F 3.3586 4.9246 20.5907
F 3.4181 3.6498 13.2551
F 3.3608 4.8147 30.1677
F 3.5443 0.9516 22.9702
F 3.6016 1.8699 6.0576
F 3.6184 3.7821 8.5650
F 3.5611 4.6825 25.4775
F 3.5912 0.9135 27.6252
F 3.6485 1.9081 10.7127
F 5.5913 0.0355 7.0823
F 5.5339 2.7860 23.9949
```

# 4
Entry from Alexandria via LeMat-Bulk: a crystal of Bi4O5F2 relaxed with PBEsol (SCAN).

## Properties
As for the density of states at the Fermi level: 0.000 states/eV/cell. The total magnetic moment comes out at 0.00 μB per cell. The value obtained for the energy relative to the lowest polymorph listed for this composition is 0 meV per atom. The space group is P2_1 (4). For the theoretical density, the calculation gives 8.14 g/cm³.

Cell and atoms, written as extended XYZ:
```
44
Lattice="11.4272 0.0000 0.0000 0.0000 5.3173 0.0000 -1.5491 0.0000 12.8068" Properties=species:S:1:pos:R:3 pbc="T T T"
Bi 0.0024 0.0000 5.4299
Bi 0.1198 0.0180 9.1935
Bi 2.1924 2.6703 2.4603
Bi 1.7322 2.6036 11.3723
Bi 2.2130 2.6006 7.6581
Bi 3.5949 0.0467 4.5918
Bi 4.5386 5.2064 0.5736
Bi 3.7758 5.2197 9.6742
Bi 6.1024 2.5611 3.1325
Bi 5.3396 2.5478 12.2332
Bi 6.2832 2.7053 8.2150
Bi 7.6652 5.2592 5.1487
Bi 8.1460 5.2623 1.4344
Bi 7.6858 0.0117 10.3465
Bi 9.7583 2.6767 3.6133
Bi 9.8757 2.6586 7.3768
O 0.1761 3.9442 7.3538
O 0.2172 1.2516 7.3334
O 1.9080 4.0071 9.3555
O 1.9305 1.3314 9.3873
O 2.9333 0.6949 2.6579
O 3.5688 3.0253 0.8764
O 3.5870 3.3246 3.9236
O 3.4938 3.9918 11.5556
O 3.5186 1.3576 11.6035
O 4.2799 3.0271 8.6802
O 5.5983 0.3684 4.1266
O 6.3596 4.0163 1.2032
O 6.3844 1.3332 1.2511
O 6.2912 0.6659 8.8831
O 6.3094 0.3667 11.9304
O 6.9449 3.3535 10.1488
O 7.9477 3.9901 3.4194
O 7.9702 1.3485 3.4513
O 9.6610 3.9102 5.4733
O 9.7021 1.2856 5.4530
F -0.7973 2.3735 9.6330
F 0.7820 2.2115 4.5724
F 0.9899 0.2632 11.8112
F 3.2916 0.4048 7.2283
F 6.5866 3.0634 5.5785
F 8.8883 2.9218 0.9956
F 9.0962 4.8702 8.2344
F 10.6755 5.0321 3.1738
```

# 5
Entry from Alexandria via LeMat-Bulk: a crystal of BiO2F2 relaxed with PBEsol (SCAN).

## Properties
As for the density of states at the Fermi level: 1.539 states/eV/cell. The total magnetic moment comes out at 1.41 μB per cell. The space group is P4/mmm (123). The calculation puts the final energy at -20.1524 eV per atom. For the theoretical density, the calculation gives 6.27 g/cm³.

Cell and atoms, written as extended XYZ:
```
5
Lattice="4.1501 0.0000 0.0000 0.0000 4.1501 0.0000 0.0000 0.0000 4.2896" Properties=species:S:1:pos:R:3 pbc="T T T"
Bi 0.0000 0.0000 0.0000
O 0.0000 2.0750 0.0000
O 2.0750 0.0000 0.0000
F 0.0000 0.0000 2.1448
F 2.0750 2.0750 2.1448
```

# 6
Entry from Alexandria via LeMat-Bulk: a crystal of Bi7O6F9 relaxed with PBEsol (SCAN).

## Properties
As for the density of states at the Fermi level: 0.000 states/eV/cell. The total magnetic moment comes out at 0.00 μB per cell. The value obtained for the energy relative to the lowest polymorph listed for this composition is 24 meV per atom. The space group is Aem2 (39). For the theoretical density, the calculation gives 8.65 g/cm³.

Cell and atoms, written as extended XYZ:
```
44
Lattice="5.7066 0.0000 0.0000 0.0000 20.4124 2.8513 0.0000 -20.4124 2.8513" Properties=species:S:1:pos:R:3 pbc="T T T"
Bi 1.1896 -13.3636 2.8513
Bi 1.1896 -7.0489 2.8513
Bi 1.1919 4.0877 3.2315
Bi 1.1919 16.3248 3.2315
Bi 1.3900 10.2062 3.3710
Bi 1.4069 1.2194 0.3188
Bi 1.4069 -1.2194 3.1701
Bi 4.2997 -1.2194 0.3188
Bi 4.2997 1.2194 3.1701
Bi 4.3167 -10.2062 3.3710
Bi 4.5147 -16.3248 3.2315
Bi 4.5147 -4.0877 3.2315
Bi 4.5171 7.0489 2.8513
Bi 4.5171 13.3636 2.8513
O 0.0000 0.0000 1.7433
O 0.0000 0.0000 4.5946
O 0.0628 -2.9359 1.8469
O 0.0628 2.9359 4.6982
O 0.0904 5.8670 1.5204
O 0.0904 -5.8670 4.3717
O 2.8533 0.0000 1.7906
O 2.8533 0.0000 4.6419
O 5.6162 -5.8670 1.5204
O 5.6162 5.8670 4.3717
O 5.6438 2.9359 1.8469
O 5.6438 -2.9359 4.6982
F 0.2115 8.8741 1.7117
F 0.2115 11.5384 1.7117
F 2.1390 -10.2062 2.6345
F 2.1528 8.0271 3.6229
F 2.1528 12.3853 3.6229
F 2.5529 -14.9050 2.2656
F 2.5529 -5.5074 2.2656
F 2.8363 2.8652 1.6385
F 2.8363 -2.8652 4.4898
F 2.8703 -2.8652 1.6385
F 2.8703 2.8652 4.4898
F 3.1537 5.5074 2.2656
F 3.1537 14.9050 2.2656
F 3.5539 -12.3853 3.6229
F 3.5539 -8.0271 3.6229
F 3.5676 10.2062 2.6345
F 5.4951 -11.5384 1.7117
F 5.4951 -8.8741 1.7117
```